No. 1
Compound: NiHN
Source: Alexandria via LeMat-Bulk
Functional: PBE
Structure: relaxed

SG = P1, No. 1
E = -33.7 eV for the cell shown
excess energy over the best structure of this formula in the dataset = 0.151 eV/atom

```
NiHN
1.0
2.989 -0.001 0.000
-0.125 3.703 0.016
-0.010 -1.107 4.538
Ni H N
2 2 2
Cartesian
0.351 1.978 0.682
0.374 0.315 2.879
1.857 1.985 3.595
1.696 0.181 0.893
0.684 0.108 1.080
1.862 0.979 3.856
```

***

No. 2
Compound: Re3RhPb
Source: Alexandria via LeMat-Bulk
Functional: PBE
Structure: relaxed

ΔE_f = 2.142 eV per atom
SG = Pm-3m, No. 221
E = -37.7 eV for the cell shown
excess energy over the best structure of this formula in the dataset = 0.000 eV/atom

```
Re3RhPb
1.0
-3.020 -1.699 -3.249
2.635 -3.933 -0.393
-2.549 -2.052 3.443
Pb Re Rh
1 3 1
Cartesian
-1.467 -3.842 -0.099
1.318 -1.966 -0.197
-1.274 -1.026 1.722
-1.510 -0.850 -1.624
0.000 0.000 0.000
```

***

No. 3
Compound: Er4InPt
Source: Alexandria via LeMat-Bulk
Functional: PBE
Structure: relaxed

ΔE_f = -0.693 eV per atom
SG = F-43m, No. 216
E = -124.7 eV for the cell shown
excess energy over the best structure of this formula in the dataset = 0.000 eV/atom

```
Er4InPt
1.0
8.341 0.000 4.816
2.780 7.864 4.816
0.000 0.000 9.631
Er In Pt
16 4 4
Cartesian
4.431 3.133 7.675
7.819 3.133 9.631
5.561 6.328 9.631
4.431 3.133 11.587
6.238 4.411 14.447
10.444 7.385 14.447
7.289 7.385 12.626
9.392 4.411 16.268
9.392 4.411 12.626
7.289 7.385 16.268
2.083 1.473 9.631
9.039 6.391 9.631
3.822 6.391 6.619
7.300 1.473 12.643
7.300 1.473 6.619
3.822 6.391 12.643
1.851 1.309 3.206
4.639 1.309 4.816
2.780 3.937 4.816
1.851 1.309 6.425
6.748 4.772 11.688
3.185 4.772 9.631
5.561 1.412 9.631
6.748 4.772 7.574
```

***

No. 4
Compound: ThH6Ru2
Source: Alexandria via LeMat-Bulk
Functional: PBE
Structure: relaxed

SG = C2/m, No. 12
E = -47.6 eV for the cell shown

```
ThH6Ru2
1.0
4.030 0.600 -1.246
-1.183 3.899 -1.246
-0.993 -1.570 6.022
Th H Ru
1 6 2
Cartesian
2.015 0.300 -0.623
-0.551 -0.152 3.899
0.332 1.243 0.876
2.405 3.082 -0.370
1.522 1.687 2.653
1.656 -0.268 3.300
0.198 3.198 0.230
0.219 0.338 2.388
1.635 2.593 1.142
```

***

No. 5
Compound: LaHf
Source: Alexandria via LeMat-Bulk
Functional: PBE
Structure: relaxed

ΔE_f = 0.761 eV per atom
SG = P4_2/mnm, No. 136
E = -53.4 eV for the cell shown
excess energy over the best structure of this formula in the dataset = 0.565 eV/atom

```
LaHf
1.0
6.214 0.000 0.000
0.000 6.214 0.000
0.000 0.000 6.442
La Hf
4 4
Cartesian
1.110 5.104 0.000
4.217 4.217 3.221
1.997 1.997 3.221
5.104 1.110 0.000
2.100 2.100 0.000
5.207 1.007 3.221
1.007 5.207 3.221
4.115 4.115 0.000
```

***

No. 6
Compound: In2Sb3
Source: Alexandria via LeMat-Bulk
Functional: PBE
Structure: relaxed

SG = R-3m, No. 166
E = -17.9 eV for the cell shown
uncorrected formation energy = -0.03 eV/f.u.
excess energy over the best structure of this formula in the dataset = 0.000 eV/atom

```
In2Sb3
1.0
9.317 -0.034 -0.020
8.295 4.242 -0.020
8.295 1.982 3.751
In Sb
2 3
Cartesian
15.681 3.746 2.245
10.226 2.443 1.464
0.000 0.000 0.000
5.095 1.217 0.730
20.812 4.972 2.980
```

***

No. 7
Compound: Cu2PAu
Source: Alexandria via LeMat-Bulk
Functional: PBE
Structure: relaxed

ΔE_f = 0.110 eV per atom
SG = R-3m, No. 166
E = -16.4 eV for the cell shown

```
Cu2PAu
1.0
-7.116 -3.115 0.682
-5.717 -4.380 2.990
-6.885 -1.652 3.268
Au Cu P
1 2 1
Cartesian
-14.789 -6.860 5.205
-19.537 -9.063 6.876
-10.040 -4.657 3.534
-4.930 -2.287 1.735
```

***

No. 8
Compound: Nd2Pd4Pb
Source: Alexandria via LeMat-Bulk
Functional: PBE
Structure: relaxed

ΔE_f = -0.115 eV per atom
SG = I4/mmm, No. 139
E = -34.8 eV for the cell shown

```
Nd2Pd4Pb
1.0
5.040 0.000 0.000
0.000 5.040 0.000
-2.520 -2.520 7.402
Nd Pd Pb
2 4 1
Cartesian
2.520 2.520 1.978
0.000 0.000 5.425
2.520 2.520 4.664
0.000 0.000 2.738
0.000 2.520 0.000
2.520 0.000 0.000
0.000 0.000 0.000
```

***

No. 9
Compound: NdErTmGa
Source: Alexandria via LeMat-Bulk
Functional: PBE
Structure: relaxed

ΔE_f = -0.094 eV per atom
SG = F-43m, No. 216
E = -17.2 eV for the cell shown

```
NdErTmGa
1.0
-3.207 4.008 -1.476
-3.034 2.470 3.636
1.136 5.008 1.468
Tm Nd Ga Er
1 1 1 1
Cartesian
-3.828 8.615 2.721
-2.552 5.743 1.814
-1.276 2.872 0.907
0.000 0.000 0.000
```

***

No. 10
Compound: Mg2MnNi2
Source: Alexandria via LeMat-Bulk
Functional: PBE
Structure: relaxed

ΔE_f = 0.135 eV per atom
SG = P4/mbm, No. 127
E = -46.5 eV for the cell shown

```
Mg2MnNi2
1.0
5.942 0.000 0.000
0.000 5.942 0.000
0.000 0.000 4.083
Ni Mg Mn
4 4 2
Cartesian
2.163 5.135 0.000
5.135 3.779 0.000
3.779 0.808 0.000
0.808 2.163 0.000
1.044 4.015 2.041
4.015 4.898 2.041
4.898 1.927 2.041
1.927 1.044 2.041
0.000 0.000 0.000
2.971 2.971 0.000
```

***

No. 11
Compound: BeCu2Mo
Source: Alexandria via LeMat-Bulk
Functional: PBE
Structure: relaxed

ΔE_f = 0.151 eV per atom
SG = Pm, No. 6
E = -22.1 eV for the cell shown

```
BeCu2Mo
1.0
-3.119 -0.575 2.015
-0.714 -1.823 -1.625
2.092 -4.393 1.984
Be Mo Cu
1 1 2
Cartesian
-0.655 -5.301 0.976
0.700 -3.308 0.140
1.513 -5.866 0.667
-1.232 -1.639 1.128
```

***

No. 12
Compound: Al3Si2Ni
Source: Alexandria via LeMat-Bulk
Functional: PBE
Structure: relaxed

SG = P6_3/mmc, No. 194
E = -54.1 eV for the cell shown
uncorrected formation energy = 0.82 eV/f.u.
excess energy over the best structure of this formula in the dataset = 0.216 eV/atom

```
Al3Si2Ni
1.0
-1.707 2.925 3.972
2.763 -4.327 0.944
6.501 4.102 -0.226
Ni Si Al
2 4 6
Cartesian
0.000 0.000 0.000
3.251 2.051 -0.113
1.801 -1.576 1.935
3.562 2.892 2.831
5.755 4.276 2.755
3.995 -0.192 1.859
2.034 0.593 3.867
1.515 1.283 1.448
0.675 2.722 3.403
5.522 2.107 0.823
6.042 1.417 3.242
6.882 -0.023 1.287
```

***

Copy entry 6 word for word.
Compound: In2Sb3
Source: Alexandria via LeMat-Bulk
Functional: PBE
Structure: relaxed

SG = R-3m, No. 166
E = -17.9 eV for the cell shown
uncorrected formation energy = -0.03 eV/f.u.
excess energy over the best structure of this formula in the dataset = 0.000 eV/atom

```
In2Sb3
1.0
9.317 -0.034 -0.020
8.295 4.242 -0.020
8.295 1.982 3.751
In Sb
2 3
Cartesian
15.681 3.746 2.245
10.226 2.443 1.464
0.000 0.000 0.000
5.095 1.217 0.730
20.812 4.972 2.980
```

***

- Which of these has the lowest E?
  Er4InPt

***

- What is the formula in the seventh record?
  Cu2PAu